Here is a geometry-optimized Tl10Te4Cl structure from the Alexandria database. Energies are from PBE.

Results
Formation energy from raw total energies: -299 meV per atom
Density of states at the Fermi level: 1.7 states/eV/f.u.
E: -85.135 eV for the cell shown
Crystal system: tetragonal
Total magnetic moment: 0.00 Bohr magnetons per cell

a b c (Å): 12.5079 12.5079 7.6896
angles (deg): 90.00 90.00 90.00
With the nearest neighbours (Å) after each atom.
Space group I4/m (No. 87)
One atom of each set of equivalent atoms:
Tl 0.0000 0.5000 0.2500 (multiplicity 4)  4 Te 3.45, 2 Tl 3.84
Tl 0.1066 0.1984 0.2321 (multiplicity 16)  3 Te 3.32-3.53, 1 Cl 3.33, 1 Tl 3.57
Te 0.0826 0.7138 0.5000 (multiplicity 8)  8 Tl 3.32-3.53
Cl 0.0000 0.0000 0.0000 (multiplicity 2)  8 Tl 3.33